The following is a DFT calculation (PBE) of an optimized crystal structure of Hf2CdF.

Cell: 6.7072 6.7072 6.7072 Å, 90.00 90.00 90.00°
With the nearest neighbours (Å) after each atom.
Space group Fm-3m (No. 225)
Asymmetric unit:
Hf1 0.2500 0.2500 0.2500  4 Cd 2.90, 4 F 2.90
Cd1 0.0000 0.0000 0.0000  8 Hf 2.90
F1 0.0000 0.0000 0.5000  8 Hf 2.90

Values from the calculation:
ΔE_f (raw) (eV per atom): -0.282
Distance to the lowest polymorph of the same formula (eV/atom): 0.0000
Total DFT energy (no corrections) (eV per atom): -5.9558